Material: LaV2IO9
Method: DFT, GGA+U
State: relaxed

Calculated density ... 4.34 g cm⁻³
Final energy ... -6.91 eV/atom
Spin magnetization ... 0.00 Bohr magnetons per cell

Cell: 7.1614 7.3816 14.8236 Å, 90.00 90.00 90.00°
Element x y z (fractional)
1 La 0.8470 0.7500 0.0476
2 La 0.1530 0.2500 0.9524
3 La 0.8470 0.2500 0.4524
4 La 0.1530 0.7500 0.5476
5 V 0.5308 0.0000 0.2500
6 V 0.4692 0.5000 0.7500
7 V 0.4692 0.0000 0.7500
8 V 0.5308 0.5000 0.2500
9 V 0.1798 0.7500 0.2699
10 V 0.8202 0.2500 0.7301
11 V 0.1798 0.2500 0.2301
12 V 0.8202 0.7500 0.7699
13 I 0.2956 0.7500 0.9422
14 I 0.7044 0.2500 0.0578
15 I 0.2956 0.2500 0.5578
16 I 0.7044 0.7500 0.4422
17 O 0.1739 0.9282 0.0076
18 O 0.8261 0.4282 0.9924
19 O 0.1739 0.0718 0.4924
20 O 0.8261 0.5718 0.5076
21 O 0.8261 0.0718 0.9924
22 O 0.1739 0.5718 0.0076
23 O 0.8261 0.9282 0.5076
24 O 0.1739 0.4282 0.4924
25 O 0.5232 0.7500 0.9956
26 O 0.4768 0.2500 0.0044
27 O 0.5232 0.2500 0.5044
28 O 0.4768 0.7500 0.4956
29 O 0.6643 0.9600 0.1579
30 O 0.3357 0.4600 0.8421
31 O 0.6643 0.0400 0.3421
32 O 0.3357 0.5400 0.6579
33 O 0.3357 0.0400 0.8421
34 O 0.6643 0.5400 0.1579
35 O 0.3357 0.9600 0.6579
36 O 0.6643 0.4600 0.3421
37 O 0.4646 0.7500 0.2763
38 O 0.5354 0.2500 0.7237
39 O 0.4646 0.2500 0.2237
40 O 0.5354 0.7500 0.7763
41 O 0.2576 0.0000 0.2500
42 O 0.7424 0.5000 0.7500
43 O 0.7424 0.0000 0.7500
44 O 0.2576 0.5000 0.2500
45 O 0.0108 0.7500 0.1917
46 O 0.9892 0.2500 0.8083
47 O 0.0108 0.2500 0.3083
48 O 0.9892 0.7500 0.6917
49 O 0.9190 0.7500 0.8726
50 O 0.0810 0.2500 0.1274
51 O 0.9190 0.2500 0.6274
52 O 0.0810 0.7500 0.3726